(1)
Compound: Al2TlCo
Source: Alexandria via LeMat-Bulk
Functional: PBE
Structure: relaxed

Calculated values
As for the energy above the most stable polymorph in this dataset: 0.2209 eV/atom.

The structure in POSCAR format:
```
Al2TlCo
1.0
3.868 0.000 0.000
0.000 3.874 -0.258
0.000 0.320 4.820
Tl Co Al
1 1 2
Cartesian
1.934 3.612 3.115
0.000 1.598 2.093
0.000 3.447 0.628
1.934 1.509 0.748
```



(2)
Compound: AlTl2Co
Source: Alexandria via LeMat-Bulk
Functional: PBE
Structure: relaxed

Calculated values
As for the energy above the most stable polymorph in this dataset: 0.0000 eV/atom.

The structure in POSCAR format:
```
AlTl2Co
1.0
3.115 0.000 0.000
0.000 3.115 0.000
0.000 0.000 8.708
Tl Co Al
2 1 1
Cartesian
0.000 0.000 8.128
1.557 1.557 2.512
1.557 1.557 6.079
0.000 0.000 5.050
```



(3)
Compound: AlTl2Co
Source: Alexandria via LeMat-Bulk
Functional: PBE
Structure: relaxed

Calculated values
As for the energy above the most stable polymorph in this dataset: 0.3453 eV/atom.

The structure in POSCAR format:
```
AlTl2Co
1.0
8.920 0.045 0.026
8.290 3.292 0.026
8.290 1.607 2.873
Tl Co Al
2 1 1
Cartesian
0.221 0.043 0.025
12.529 2.429 1.438
19.125 3.708 2.195
6.375 1.236 0.732
```



(4)
Compound: Al2TlCo
Source: Alexandria via LeMat-Bulk
Functional: PBE
Structure: relaxed

Calculated values
As for the energy above the most stable polymorph in this dataset: 0.2256 eV/atom.

The structure in POSCAR format:
```
Al2TlCo
1.0
6.186 0.033 0.003
3.870 4.826 -0.003
-4.513 -3.495 2.384
Tl Co Al
1 1 2
Cartesian
3.350 -0.517 1.193
2.192 1.880 1.191
0.605 0.292 0.000
4.423 2.137 0.000
```



(5)
Compound: AlTl2Co
Source: Alexandria via LeMat-Bulk
Functional: PBE
Structure: relaxed

Calculated values
As for the energy above the most stable polymorph in this dataset: 0.1128 eV/atom.

The structure in POSCAR format:
```
AlTl2Co
1.0
-3.204 6.115 2.866
-6.242 1.755 2.149
6.214 -4.114 -0.304
Tl Co Al
2 1 1
Cartesian
5.637 -3.619 0.003
-0.874 3.141 2.423
-2.555 1.036 2.195
-3.948 3.019 2.293
```



(6)
Compound: Al2TlCo2
Source: Alexandria via LeMat-Bulk
Functional: PBE
Structure: relaxed

Calculated values
As for the energy above the most stable polymorph in this dataset: 0.1012 eV/atom.

The structure in POSCAR format:
```
Al2TlCo2
1.0
-3.687 -0.173 6.203
-5.551 -3.134 -3.387
1.075 -2.519 0.569
Tl Co Al
2 4 4
Cartesian
0.000 0.000 0.000
-4.619 -1.653 1.408
-3.690 -3.346 -0.967
-6.564 -4.014 1.506
-4.474 -2.479 4.351
-1.599 -1.811 1.879
-6.180 -2.786 -0.656
-6.708 -2.129 3.249
-3.058 -0.521 3.472
-2.531 -1.178 -0.433
```



(7)
Compound: AlTl2Co
Source: Alexandria via LeMat-Bulk
Functional: PBE
Structure: relaxed

Calculated values
As for the energy above the most stable polymorph in this dataset: 0.4082 eV/atom.

The structure in POSCAR format:
```
AlTl2Co
1.0
5.424 -0.021 0.000
2.175 4.968 0.000
-3.800 -2.474 2.977
Tl Co Al
2 1 1
Cartesian
0.000 0.000 0.000
1.088 2.484 1.488
2.712 -0.010 1.488
3.800 2.474 0.000
```



(8)
Compound: AlTl2Co
Source: Alexandria via LeMat-Bulk
Functional: PBE
Structure: relaxed

Calculated values
As for the energy above the most stable polymorph in this dataset: 0.1692 eV/atom.

The structure in POSCAR format:
```
AlTl2Co
1.0
-3.073 -2.240 0.864
1.394 -0.433 3.838
-1.919 3.928 3.358
Tl Co Al
2 1 1
Cartesian
-0.400 3.184 6.836
-1.759 0.008 2.569
-2.229 1.642 5.132
0.001 1.663 4.317
```



no.,size of the total moment (μB per cell),formation energy from the elements (eV/f.u.),calculated total energy (eV per atom)
1,0.0,0.6,-4.08
2,0.6,0.6,-3.75
3,1.2,2.0,-3.40
4,0.0,0.6,-4.08
5,0.0,1.1,-3.63
6,0.0,0.1,-4.80
7,1.4,2.2,-3.34
8,0.7,1.3,-3.58